Below is a geometry-optimized Y3MgSc4 structure, with properties calculated at the PBE level.

Structure (extended XYZ):
```
8
Lattice="-1.891 -3.694 -5.730 0.403 -1.744 6.845 -5.498 4.318 -1.086" Properties=species:S:1:pos:R:3 pbc="T T T"
Y -5.328 0.896 -2.740
Y -6.899 0.583 -6.364
Y -2.806 -1.918 1.709
Mg -2.624 1.294 2.809
Sc -5.403 1.898 2.049
Sc -3.646 1.010 0.062
Sc -2.264 -1.139 -1.494
Sc -1.149 -0.282 4.818
```

Properties
Formation energy: 2.847 eV/f.u.



Below is a geometry-optimized Tb2ErSc3Se6 structure, with properties calculated at the PBE level.

Structure (extended XYZ):
```
12
Lattice="3.966 0.000 0.000 0.000 7.977 0.286 -1.983 -2.300 8.353" Properties=species:S:1:pos:R:3 pbc="T T T"
Tb 1.983 3.779 5.739
Tb 0.000 1.898 2.900
Er 1.983 0.000 0.000
Sc 1.983 3.988 0.143
Sc 1.983 -0.185 5.588
Sc 0.000 5.862 3.051
Se 0.000 5.876 5.803
Se 1.983 3.979 2.877
Se 1.983 -0.200 2.835
Se 1.983 -0.245 8.360
Se 0.000 5.922 0.279
Se 0.000 1.698 5.762
```

Properties
Uncorrected energy: -6.142 eV per atom



The records above yield total moment values of 0.00; 0.00 μB per cell, respectively.